Below is an optimized crystal structure of Cs2TcPbS4, with properties calculated at the GGA-PBE level.

Properties
DFT total energy (eV per atom): -4.70
Magnetization (μB/cell): 0.77
Space group: I-4
E_form (uncorrected) (kJ/mol of atoms): -64.2
DOS at the Fermi energy (states/eV/f.u.): 2.84

Cell: 7.1367 7.1367 7.1367 Å, 112.13 112.13 104.27°
Element x y z (fractional)
Cs 0.0000 0.0000 0.0000
Cs 0.7500 0.2500 0.5000
Tc 0.5000 0.5000 0.0000
Pb 0.2500 0.7500 0.5000
S 0.2320 0.5651 0.0623
S 0.4349 0.4973 0.6670
S 0.5027 0.1697 0.9377
S 0.8303 0.7680 0.3330

***

Below is an optimized crystal structure of Mo4C5, with properties calculated at the GGA-PBE level.

Properties
DFT total energy (eV per atom): -9.24
ΔE_f (eV/atom): 0.698
Magnetization (μB/cell): 0.00
Space group: P6_3/mcm
DOS at the Fermi energy (states/eV/f.u.): 2.10
ΔE to the lowest computed polymorph (eV/f.u.): 0.00

Cell: 6.1009 6.1009 5.7542 Å, 90.00 90.00 120.00°
Element x y z (fractional)
Mo 0.0000 0.0000 0.0000
Mo 0.0000 0.0000 0.5000
Mo 0.0000 0.4077 0.2500
Mo 0.0000 0.5923 0.7500
Mo 0.4077 0.0000 0.2500
Mo 0.4077 0.4077 0.7500
Mo 0.5923 0.0000 0.7500
Mo 0.5923 0.5923 0.2500
C 0.0000 0.2552 0.7500
C 0.0000 0.7448 0.2500
C 0.2552 0.0000 0.7500
C 0.2552 0.2552 0.2500
C 0.3333 0.6667 0.0000
C 0.3333 0.6667 0.5000
C 0.6667 0.3333 0.0000
C 0.6667 0.3333 0.5000
C 0.7448 0.0000 0.2500
C 0.7448 0.7448 0.7500

***

Below is an optimized crystal structure of KLiSe2, with properties calculated at the GGA-PBE level.

Properties
DFT total energy (eV per atom): -2.80
Magnetization (μB/cell): 0.00
Space group: F-43m
E_form (uncorrected) (kJ/mol of atoms): -29.6
DOS at the Fermi energy (states/eV/f.u.): 4.01

Cell: 5.2002 5.2002 5.2002 Å, 60.00 60.00 60.00°
Element x y z (fractional)
K 0.0000 0.0000 0.0000
Li 0.2500 0.2500 0.2500
Se 0.5000 0.5000 0.5000
Se 0.7500 0.7500 0.7500

***

Below is an optimized crystal structure of FeHPt2, with properties calculated at the GGA-PBE level.

Properties
DFT total energy (eV per atom): -5.64
Magnetization (μB/cell): 3.82
Space group: Fm-3m
DOS at the Fermi energy (states/eV/f.u.): 6.74
ΔE to the lowest computed polymorph (eV/f.u.): 1.23

Cell: 4.1510 4.1510 4.1510 Å, 60.00 60.00 60.00°
Element x y z (fractional)
Fe 0.0000 0.0000 0.0000
H 0.5000 0.5000 0.5000
Pt 0.2500 0.2500 0.2500
Pt 0.7500 0.7500 0.7500

***

Below is an optimized crystal structure of SrMnCu2, with properties calculated at the GGA-PBE level.

Properties
DFT total energy (eV per atom): -4.53
ΔE_f (eV/atom): 0.227
Magnetization (μB/cell): 4.20
Space group: P2/m
DOS at the Fermi energy (states/eV/f.u.): 2.43

Cell: 3.3225 3.3751 6.8435 Å, 90.00 90.13 90.00°
Element x y z (fractional)
Sr 0.0000 0.0000 0.0000
Mn 0.0000 0.0000 0.5000
Cu 0.5001 0.5000 0.3207
Cu 0.4999 0.5000 0.6793

***

Below is an optimized crystal structure of Y2PuRu2, with properties calculated at the GGA-PBE level.

Properties
DFT total energy (eV per atom): -9.43
ΔE_f (eV/atom): -0.267
Magnetization (μB/cell): 18.56
Space group: P2_1/c
DOS at the Fermi energy (states/eV/f.u.): 5.56
ΔE to the lowest computed polymorph (eV/f.u.): 0.49

Cell: 8.5109 8.2930 6.2721 Å, 90.00 90.35 90.00°
Element x y z (fractional)
Y 0.1254 0.2488 0.0020
Y 0.1254 0.2512 0.5020
Y 0.2214 0.6289 0.7511
Y 0.2214 0.8711 0.2511
Y 0.7786 0.1289 0.7489
Y 0.7786 0.3711 0.2489
Y 0.8746 0.7488 0.4980
Y 0.8746 0.7512 0.9980
Pu 0.3952 0.5090 0.2500
Pu 0.3952 0.9910 0.7500
Pu 0.6048 0.0090 0.2500
Pu 0.6048 0.4910 0.7500
Ru 0.0846 0.5446 0.2492
Ru 0.0846 0.9554 0.7492
Ru 0.4757 0.2497 0.4963
Ru 0.4757 0.2503 0.9963
Ru 0.5243 0.7497 0.0037
Ru 0.5243 0.7503 0.5037
Ru 0.9154 0.0446 0.2508
Ru 0.9154 0.4554 0.7508

***

Below is an optimized crystal structure of LiLaPb, with properties calculated at the GGA-PBE level.

Properties
DFT total energy (eV per atom): -3.62
ΔE_f (eV/atom): -0.104
Magnetization (μB/cell): 0.00
Space group: P3m1
DOS at the Fermi energy (states/eV/f.u.): 3.00

Cell: 3.5050 3.5050 8.3420 Å, 90.00 90.00 120.00°
Element x y z (fractional)
Li 0.0000 0.0000 0.0000
La 0.6667 0.3333 0.6192
Pb 0.3333 0.6667 0.2788

***

Below is an optimized crystal structure of Ba12Hg3Rh5, with properties calculated at the GGA-PBE level.

Properties
DFT total energy (eV per atom): -3.15
ΔE_f (eV/atom): -0.116
Magnetization (μB/cell): 0.00
Space group: Ia-3d
DOS at the Fermi energy (states/eV/f.u.): 17.19

Cell: 16.5567 16.5567 16.5567 Å, 109.47 109.47 109.47°
Element x y z (fractional)
Ba 0.0255 0.2049 0.1172
Ba 0.0255 0.3206 0.9083
Ba 0.0877 0.7049 0.6794
Ba 0.0877 0.8828 0.4083
Ba 0.0917 0.6172 0.4123
Ba 0.0917 0.9745 0.6794
Ba 0.1172 0.0255 0.2049
Ba 0.1172 0.5917 0.9123
Ba 0.1794 0.2049 0.5877
Ba 0.1794 0.4745 0.5917
Ba 0.2049 0.1172 0.0255
Ba 0.2049 0.5877 0.1794
Ba 0.2951 0.3206 0.9123
Ba 0.2951 0.4745 0.3828
Ba 0.3206 0.9083 0.0255
Ba 0.3206 0.9123 0.2951
Ba 0.3828 0.2951 0.4745
Ba 0.3828 0.5877 0.9083
Ba 0.4083 0.0877 0.8828
Ba 0.4083 0.8206 0.5255
Ba 0.4123 0.0917 0.6172
Ba 0.4123 0.8206 0.7951
Ba 0.4745 0.3828 0.2951
Ba 0.4745 0.5917 0.1794
Ba 0.5255 0.4083 0.8206
Ba 0.5255 0.6172 0.7049
Ba 0.5877 0.1794 0.2049
Ba 0.5877 0.9083 0.3828
Ba 0.5917 0.1794 0.4745
Ba 0.5917 0.9123 0.1172
Ba 0.6172 0.4123 0.0917
Ba 0.6172 0.7049 0.5255
Ba 0.6794 0.0877 0.7049
Ba 0.6794 0.0917 0.9745
Ba 0.7049 0.5255 0.6172
Ba 0.7049 0.6794 0.0877
Ba 0.7951 0.4123 0.8206
Ba 0.7951 0.8828 0.9745
Ba 0.8206 0.5255 0.4083
Ba 0.8206 0.7951 0.4123
Ba 0.8828 0.4083 0.0877
Ba 0.8828 0.9745 0.7951
Ba 0.9083 0.0255 0.3206
Ba 0.9083 0.3828 0.5877
Ba 0.9123 0.1172 0.5917
Ba 0.9123 0.2951 0.3206
Ba 0.9745 0.6794 0.0917
Ba 0.9745 0.7951 0.8828
Hg 0.1250 0.2500 0.3750
Hg 0.1250 0.3750 0.7500
Hg 0.2500 0.3750 0.1250
Hg 0.2500 0.8750 0.6250
Hg 0.3750 0.1250 0.2500
Hg 0.3750 0.7500 0.1250
Hg 0.6250 0.2500 0.8750
Hg 0.6250 0.8750 0.7500
Hg 0.7500 0.1250 0.3750
Hg 0.7500 0.6250 0.8750
Hg 0.8750 0.6250 0.2500
Hg 0.8750 0.7500 0.6250
Rh 0.0000 0.0000 0.0000
Rh 0.0000 0.0000 0.5000
Rh 0.0000 0.5000 0.0000
Rh 0.0000 0.5000 0.5000
Rh 0.1250 0.7500 0.8750
Rh 0.1250 0.8750 0.2500
Rh 0.2500 0.1250 0.8750
Rh 0.2500 0.6250 0.3750
Rh 0.3750 0.2500 0.6250
Rh 0.3750 0.6250 0.7500
Rh 0.5000 0.0000 0.0000
Rh 0.5000 0.0000 0.5000
Rh 0.5000 0.5000 0.0000
Rh 0.5000 0.5000 0.5000
Rh 0.6250 0.3750 0.2500
Rh 0.6250 0.7500 0.3750
Rh 0.7500 0.3750 0.6250
Rh 0.7500 0.8750 0.1250
Rh 0.8750 0.1250 0.7500
Rh 0.8750 0.2500 0.1250